A geometry-optimized CdInGa structure, computed with PBE-GGA.

a = 4.6243 Å, b = 4.6243 Å, c = 10.8762 Å
α = 90.00°, β = 90.00°, γ = 120.00°
With the nearest neighbours (Å) after each atom.
Space group P6_3/mmc (No. 194)
One atom of each set of equivalent atoms:
Cd (0.3333, 0.6667, 0.2500) (multiplicity 2)  3 Ga 2.67
In (0.0000, 0.0000, 0.0000) (multiplicity 2)  2 Ga 2.72
Ga (0.0000, 0.0000, 0.2500) (multiplicity 2)  3 Cd 2.67, 2 In 2.72

## Properties
crystal system	hexagonal
E_form	1.052	eV/f.u.
DOS at the Fermi energy	4.336	states/eV/cell